No. 1
Si3Rh | SCAN | PBEsol geometry

Cell: 3.479 4.354 7.211 Å, 90.00 90.00 90.00°
Space group Immm (No. 71)
Symmetry-distinct sites (fractional):
Si1 0.000 0.000 0.000
Si2 0.000 0.500 0.257
Rh1 0.000 0.000 0.500

Results
The calculation puts the formation energy from raw total energies at 1.85 kcal/mol of atoms. The total magnetization is 0.00 μB per formula unit.


No. 2
Ag2ICl | SCAN | PBEsol geometry

Cell: 6.094 6.094 12.495 Å, 90.00 90.00 90.00°
Space group I-42d (No. 122)
Symmetry-distinct sites (fractional):
Ag1 0.222 0.250 0.125
I1 0.000 0.000 0.500
Cl1 0.000 0.000 0.000

Results
The calculation puts the formation energy from raw total energies at -8.27 kcal/mol of atoms. The total magnetization is 0.00 μB per formula unit.


No. 3
TeAsWSe2 | SCAN | PBEsol geometry

Cell: 4.787 4.787 5.066 Å, 90.00 90.00 90.00°
Space group P4/mmm (No. 123)
Symmetry-distinct sites (fractional):
Te1 0.000 0.000 0.000
As1 0.500 0.500 0.000
W1 0.500 0.500 0.500
Se1 0.000 0.500 0.500

Results
The polymorph energy (0 for the lowest one) comes out at 0.000 eV/atom. The calculation puts the formation energy from raw total energies at 11.24 kcal/mol of atoms. The total magnetization is 0.00 μB per formula unit.


No. 4
Ga2Ag2TeSe3 | SCAN | PBEsol geometry

Cell: 12.739 5.954 6.050 Å, 90.00 117.24 90.00°
Space group C2 (No. 5)
Symmetry-distinct sites (fractional):
Ga1 0.128 0.000 0.387
Ag1 0.133 0.524 0.873
Te1 0.000 0.245 0.000
Se1 0.000 0.777 0.500
Se2 0.249 0.256 0.722

Results
The calculation puts the formation energy from raw total energies at -9.83 kcal/mol of atoms. The total magnetization is 0.00 μB per formula unit.


No. 5
In2TePb | SCAN | PBEsol geometry

Cell: 4.069 5.287 10.372 Å, 90.00 90.00 90.00°
Space group Imm2 (No. 44)
Symmetry-distinct sites (fractional):
In1 0.000 0.000 0.000
In2 0.000 0.500 0.250
Te1 0.000 0.500 0.737
Pb1 0.000 0.000 0.483

Results
The polymorph energy (0 for the lowest one) comes out at 0.018 eV/atom. The calculation puts the formation energy from raw total energies at -0.03 kcal/mol of atoms. The total magnetization is 0.00 μB per formula unit.


No. 6
Nb3CoPd | SCAN | PBEsol geometry

Cell: 4.751 4.751 4.751 Å, 90.00 90.00 90.00°
Space group Pm-3m (No. 221)
Symmetry-distinct sites (fractional):
Nb1 0.000 0.000 0.500
Co1 0.500 0.500 0.500
Pd1 0.000 0.000 0.000

Results
The total magnetization is 1.49 μB per formula unit. For the calculated formation energy, the calculation gives 7.6 eV/f.u.


No. 7
ScBe2Fe | SCAN | PBEsol geometry

Cell: 2.923 4.194 7.631 Å, 90.00 90.00 90.00°
Space group Imm2 (No. 44)
Symmetry-distinct sites (fractional):
Sc1 0.000 0.000 0.000
Be1 0.000 0.000 0.508
Be2 0.000 0.500 0.214
Fe1 0.000 0.500 0.775

Results
The total magnetization is 1.00 μB per formula unit. For the calculated formation energy, the calculation gives 0.5 eV/f.u.


No. 8
Bi2Sb2Te3Se3 | SCAN | PBEsol geometry

Cell: 4.1979 4.1979 58.4979 Å, 90.00 90.00 120.00°
Space group R3m (No. 160, hexagonal axes)
Symmetry-distinct sites (fractional):
Bi1 0.0000 0.0000 0.0000
Bi2 0.0000 0.0000 0.4961
Sb1 0.0000 0.0000 0.1007
Sb2 0.0000 0.0000 0.6046
Te1 0.0000 0.0000 0.1940
Te2 0.0000 0.0000 0.4046
Te3 0.0000 0.0000 0.9082
Se1 0.0000 0.0000 0.3016
Se2 0.0000 0.0000 0.6932
Se3 0.0000 0.0000 0.7979

Results
The calculation puts the formation energy from raw total energies at -5.01 kcal/mol of atoms. The total magnetization is 0.00 μB per formula unit.